# Zr5AlNi2

Zr5AlNi2 at its PBEsol-relaxed geometry (SCAN, the Alexandria database).

ΔH_f (0 K)   -291.1 meV per atom
Total moment   0.90 μB per formula unit

abc: 4.3221 4.3221 8.2949
angles: 105.10 105.10 90.00
Last column: nearest neighbours and their distance in Å.
Element x y z (fractional)
Zr  0.1400  0.6400  0.2801  4 Ni 2.73-2.76, 2 Al 3.06, 6 Zr 3.06
Zr  0.5000  0.5000  0.0000  8 Zr 3.06, 4 Al 3.06
Zr  0.3600  0.8600  0.7199  4 Ni 2.73-2.76, 6 Zr 3.06, 2 Al 3.06
Zr  0.8600  0.3600  0.7199  4 Ni 2.73-2.76, 6 Zr 3.06, 2 Al 3.06
Zr  0.6400  0.1400  0.2801  4 Ni 2.73-2.76, 2 Al 3.06, 6 Zr 3.06
Ni  0.7485  0.7485  0.4969  8 Zr 2.73-2.76, 4 Ni 3.06
Ni  0.2515  0.2515  0.5031  8 Zr 2.73-2.76, 4 Ni 3.06
Al  0.0000  0.0000  0.0000  12 Zr 3.06